Below is an optimized crystal structure of SnPd2Se2, with properties calculated at the PBE level.

As for the crystal system: tetragonal. As for the volume: 105.5 Å³ per cell. Its uncorrected formation energy is -0.115 eV per atom.

Unit cell a=4.221 b=4.221 c=6.631 alpha=71.44 beta=71.44 gamma=90.00
Atoms (fractional coordinates):
Se (0.624, 0.624, 0.751)
Pd (0.250, 0.750, 0.500)
Se (0.376, 0.376, 0.249)
Sn (0.000, 0.000, 0.000)
Pd (0.750, 0.250, 0.500)